1.
SrTaBr2 after structural relaxation. Source: Alexandria via LeMat-Bulk, functional PBE-GGA.

ΔE_f (raw)	128.9	meV per atom
energy above the lowest structure with this stoichiometry	178	kJ/mol of formula units

The structure in CIF format:
```
data_SrTaBr2
_chemical_formula_sum 'Sr2 Ta2 Br4'
_cell_length_a 4.294
_cell_length_b 4.294
_cell_length_c 12.276
_cell_angle_alpha 90.00
_cell_angle_beta 90.00
_cell_angle_gamma 90.00
_space_group_name_H-M_alt 'I -4 m 2'
_space_group_IT_number 119
_space_group_name_Hall 'I -4 -2'
loop_
_atom_site_label
_atom_site_type_symbol
_atom_site_fract_x
_atom_site_fract_y
_atom_site_fract_z
_atom_site_occupancy
Sr1 Sr 0.000 0.000 0.000 1
Ta1 Ta 0.000 0.500 0.750 1
Br1 Br 0.000 0.000 0.500 1
Br2 Br 0.000 0.500 0.250 1
```

***

2.
Ca3PuNp2As6 after structural relaxation. Source: Alexandria via LeMat-Bulk, functional PBE-GGA.

E_form	-11.46	eV per formula unit

The structure in CIF format:
```
data_Ca3PuNp2As6
_chemical_formula_sum 'Ca6 Pu2 Np4 As12'
_cell_length_a 7.249
_cell_length_b 12.555
_cell_length_c 7.217
_cell_angle_alpha 90.00
_cell_angle_beta 109.56
_cell_angle_gamma 90.00
_space_group_name_H-M_alt 'C 1 2/m 1'
_space_group_IT_number 12
_space_group_name_Hall '-C 2y'
loop_
_atom_site_label
_atom_site_type_symbol
_atom_site_fract_x
_atom_site_fract_y
_atom_site_fract_z
_atom_site_occupancy
Ca1 Ca 0.000 0.000 0.000 1
Ca2 Ca 0.000 0.334 0.000 1
Pu1 Pu 0.000 0.500 0.500 1
Np1 Np 0.000 0.167 0.500 1
As1 As 0.239 0.000 0.728 1
As2 As 0.245 0.331 0.728 1
```

***

Number 1: mass density 6.3 Mg/m³. Number 2: mass density 6.9 Mg/m³.